AcVTcO6: relaxed, GGA+U.

The total moment is 3.0 μB per formula unit. As for the calculated total energy: -7.940 eV/atom.

```
data_AcVTcO6
_chemical_formula_sum 'Ac1 V1 Tc1 O6'
_space_group_name_H-M_alt 'P 1'
_space_group_IT_number 1
_cell_length_a 5.285
_cell_length_b 5.155
_cell_length_c 5.342
_cell_angle_alpha 88.29
_cell_angle_beta 89.17
_cell_angle_gamma 60.82
loop_
_space_group_symop_operation_xyz
'x,y,z'
loop_
_atom_site_label
_atom_site_fract_x
_atom_site_fract_y
_atom_site_fract_z
_atom_site_occupancy
Ac1 0.996 0.002 0.000 1
V1 0.672 0.664 0.500 1
Tc1 0.321 0.339 0.500 1
O1 0.999 0.381 0.293 1
O2 0.381 0.001 0.710 1
O3 0.625 0.380 0.700 1
O4 0.999 0.619 0.707 1
O5 0.381 0.618 0.290 1
O6 0.625 0.995 0.300 1
```